1.
Entry from Alexandria via LeMat-Bulk: an optimized crystal structure of TbEu2Hf (PBE).

Cell and atoms, written as extended XYZ:
```
4
Lattice="1.695 0.978 12.480 -1.695 0.978 12.480 0.000 -1.957 12.480" Properties=species:S:1:pos:R:3 pbc="T T T"
Tb 0.000 0.000 0.000
Eu 0.000 0.000 15.600
Eu 0.000 0.000 21.840
Hf 0.000 0.000 18.720
```

Summary:
DFT formation energy: 475 meV/atom
symmetry: R-3m, No. 166

---

2.
Entry from Alexandria via LeMat-Bulk: an optimized crystal structure of KSr2Ir (PBE).

Cell and atoms, written as extended XYZ:
```
4
Lattice="-2.466 2.466 5.177 2.466 -2.466 5.177 2.466 2.466 -5.177" Properties=species:S:1:pos:R:3 pbc="T T T"
K 0.000 0.000 0.000
Sr 2.466 0.000 2.588
Sr 0.000 0.000 5.177
Ir 0.000 2.466 2.588
```

Summary:
E above lowest polymorph: 1.69 eV per formula unit
DFT formation energy: 428 meV/atom
symmetry: I-4m2, No. 119

---

3.
Entry from Alexandria via LeMat-Bulk: an optimized crystal structure of PmNd2Pu3Se6 (PBE).

Cell and atoms, written as extended XYZ:
```
12
Lattice="9.109 -2.088 0.000 9.109 2.088 0.000 -1.861 0.000 8.152" Properties=species:S:1:pos:R:3 pbc="T T T"
Pm 0.000 0.000 0.000
Nd 4.842 0.000 5.417
Nd 11.515 0.000 2.735
Pu -0.930 0.000 4.076
Pu 5.759 0.000 1.348
Pu 10.599 0.000 6.804
Se 1.919 0.000 4.802
Se 2.911 0.000 0.645
Se 8.611 0.000 2.057
Se 7.747 0.000 6.095
Se 13.447 0.000 7.507
Se 14.439 0.000 3.350
```

Summary:
final energy: -98.59 eV per cell
symmetry: C2/m, No. 12